(1)
VASP calculation (PBE) on a relaxed structure of MgNiMoPb.

a = 4.609 Å, b = 4.609 Å, c = 4.609 Å
α = 60.00°, β = 60.00°, γ = 60.00°
Fractional coordinates of all 4 atoms:
Mg  0.500  0.500  0.500
Mo  0.250  0.250  0.250
Ni  0.750  0.750  0.750
Pb  0.000  0.000  0.000

## Properties
mass density	9.26	g/cm³
total energy	-0.1806	Ha/atom
offset from the most stable computed form	0	meV/atom

=====

(2)
VASP calculation (PBE) on a relaxed structure of NaTcBiSb.

a = 4.900 Å, b = 4.900 Å, c = 4.900 Å
α = 60.00°, β = 60.00°, γ = 60.00°
Fractional coordinates of all 4 atoms:
Bi  0.500  0.500  0.500
Na  0.750  0.750  0.750
Sb  0.000  0.000  0.000
Tc  0.250  0.250  0.250

## Properties
mass density	9.02	g/cm³
total energy	-0.1735	Ha/atom
offset from the most stable computed form	0	meV/atom

=====

(3)
VASP calculation (PBE) on a relaxed structure of ScBeCuSn.

a = 4.536 Å, b = 4.536 Å, c = 4.536 Å
α = 60.00°, β = 60.00°, γ = 60.00°
Fractional coordinates of all 4 atoms:
Be  0.250  0.250  0.250
Cu  0.500  0.500  0.500
Sc  0.750  0.750  0.750
Sn  0.000  0.000  0.000

## Properties
mass density	5.94	g/cm³
total energy	-0.1623	Ha/atom
offset from the most stable computed form	103	meV/atom

=====

(4)
VASP calculation (PBE) on a relaxed structure of Gd4AlNi2Ge4.

a = 8.005 Å, b = 8.005 Å, c = 7.011 Å
α = 107.74°, β = 107.74°, γ = 31.03°
Fractional coordinates of all 11 atoms:
Al  0.000  0.000  0.000
Gd  0.346  0.346  0.060
Gd  0.590  0.590  0.388
Gd  0.410  0.410  0.612
Gd  0.654  0.654  0.940
Ge  0.203  0.203  0.272
Ge  0.936  0.936  0.332
Ge  0.064  0.064  0.668
Ge  0.797  0.797  0.728
Ni  0.784  0.784  0.355
Ni  0.216  0.216  0.645

## Properties
mass density	8.04	g/cm³
total energy	-0.2023	Ha/atom

=====

(5)
VASP calculation (PBE) on a relaxed structure of AlFeW2.

a = 4.333 Å, b = 4.333 Å, c = 4.333 Å
α = 60.00°, β = 60.00°, γ = 60.00°
Each line ends with the local moment (μB).
Fractional coordinates of all 4 atoms:
Al  0.500  0.500  0.500  -0.01
Fe  0.250  0.250  0.250  0.89
W  0.000  0.000  0.000  -0.12
W  0.750  0.750  0.750  0.19

## Properties
mass density	13.01	g/cm³
total energy	-0.3458	Ha/atom

=====

(6)
VASP calculation (PBE) on a relaxed structure of RbTaNO.

a = 3.744 Å, b = 6.299 Å, c = 6.748 Å
α = 90.00°, β = 90.00°, γ = 90.00°
Each line ends with the local moment (μB).
Fractional coordinates of all 8 atoms:
N  0.000  0.754  0.495  -0.01
N  0.000  0.254  0.505  -0.01
O  0.500  0.500  0.239  0.02
O  0.500  0.000  0.761  0.02
Rb  0.500  0.000  0.189  0.03
Rb  0.500  0.500  0.811  0.03
Ta  0.000  0.500  0.338  0.24
Ta  0.000  0.000  0.662  0.24

## Properties
mass density	6.19	g/cm³
total energy	-0.2876	Ha/atom
offset from the most stable computed form	0	meV/atom

=====

(7)
VASP calculation (PBE) on a relaxed structure of GaSiW.

a = 4.230 Å, b = 4.230 Å, c = 4.230 Å
α = 60.00°, β = 60.00°, γ = 60.00°
Fractional coordinates of all 3 atoms:
Ga  0.250  0.250  0.250
Si  0.750  0.750  0.750
W  0.000  0.000  0.000

## Properties
mass density	8.74	g/cm³
total energy	-0.2405	Ha/atom
offset from the most stable computed form	59	meV/atom

=====

(8)
VASP calculation (PBE) on a relaxed structure of PdNCl.

a = 9.369 Å, b = 9.369 Å, c = 9.369 Å
α = 21.60°, β = 21.60°, γ = 21.60°
Fractional coordinates of all 6 atoms:
Cl  0.389  0.389  0.389
Cl  0.611  0.611  0.611
N  0.193  0.193  0.193
N  0.807  0.807  0.807
Pd  0.114  0.114  0.114
Pd  0.886  0.886  0.886

## Properties
mass density	5.30	g/cm³
total energy	-0.1633	Ha/atom

=====

(9)
VASP calculation (PBE) on a relaxed structure of WC8.

a = 5.024 Å, b = 5.024 Å, c = 3.669 Å
α = 90.00°, β = 90.00°, γ = 120.00°
Each line ends with the local moment (μB).
Fractional coordinates of all 9 atoms:
C  0.337  0.169  0.000  -0.01
C  0.831  0.169  0.000  -0.01
C  0.667  0.333  0.000  0.05
C  0.169  0.337  0.000  -0.01
C  0.831  0.663  0.000  -0.01
C  0.333  0.667  0.000  0.05
C  0.169  0.831  0.000  -0.01
C  0.663  0.831  0.000  -0.01
W  0.000  0.000  0.500  0.58

## Properties
mass density	5.80	g/cm³
total energy	-0.3323	Ha/atom
offset from the most stable computed form	93	meV/atom

=====

(10)
VASP calculation (PBE) on a relaxed structure of Y3Er3ReTe2.

a = 8.256 Å, b = 8.256 Å, c = 4.125 Å
α = 90.00°, β = 90.00°, γ = 120.00°
Fractional coordinates of all 9 atoms:
Er  0.613  0.000  0.000
Er  0.387  0.387  0.000
Er  0.000  0.613  0.000
Re  0.000  0.000  0.000
Te  0.667  0.333  0.500
Te  0.333  0.667  0.500
Y  0.241  0.000  0.500
Y  0.000  0.241  0.500
Y  0.759  0.759  0.500

## Properties
mass density	8.25	g/cm³
total energy	-0.2333	Ha/atom
offset from the most stable computed form	58	meV/atom

=====

(11)
VASP calculation (PBE) on a relaxed structure of Gd2ScP3.

a = 3.960 Å, b = 3.960 Å, c = 9.652 Å
α = 90.00°, β = 90.00°, γ = 120.00°
Fractional coordinates of all 6 atoms:
Gd  0.667  0.333  0.174
Gd  0.333  0.667  0.826
P  0.000  0.000  0.000
P  0.333  0.667  0.349
P  0.667  0.333  0.651
Sc  0.000  0.000  0.500

## Properties
mass density	5.73	g/cm³
total energy	-0.2521	Ha/atom

=====

(12)
VASP calculation (PBE) on a relaxed structure of CsHfAgTe2Se.

a = 9.505 Å, b = 4.208 Å, c = 10.732 Å
α = 90.00°, β = 113.57°, γ = 90.00°
Fractional coordinates of all 12 atoms:
Ag  0.575  0.250  0.105
Ag  0.425  0.750  0.895
Cs  0.245  0.750  0.202
Cs  0.755  0.250  0.798
Hf  0.802  0.750  0.330
Hf  0.198  0.250  0.670
Se  0.739  0.750  0.071
Se  0.261  0.250  0.929
Te  0.031  0.250  0.365
Te  0.612  0.250  0.375
Te  0.388  0.750  0.625
Te  0.969  0.750  0.635

## Properties
mass density	6.36	g/cm³
total energy	-0.1751	Ha/atom
offset from the most stable computed form	52	meV/atom